1.
## Cs2AuCl (PBE-GGA)

Data for a geometry-optimized Cs2AuCl structure.

Properties
* ΔE_f (raw): -0.75 eV per atom
* offset from the most stable computed form: 396.2 meV per atom
* symmetry: Immm, No. 71

Cell lengths 10.7518, 10.7518, 10.7518 Å; angles 126.34, 105.10, 98.44 degrees
Atoms (fractional coordinates):
Au 0.5000 0.0000 0.5000
Cs 0.7578 0.0000 0.7578
Cs 0.2422 0.0000 0.2422
Cl 0.0000 0.0000 0.0000

---

2.
## Cs6Au3Cl2 (PBE-GGA)

Data for a geometry-optimized Cs6Au3Cl2 structure.

Properties
* ΔE_f (raw): -0.81 eV per atom
* offset from the most stable computed form: 41.3 meV per atom
* symmetry: I4/mmm, No. 139

Cell lengths 6.5619, 6.5619, 14.8353 Å; angles 102.78, 102.78, 90.00 degrees
Atoms (fractional coordinates):
Cs 0.7165 0.7165 0.4331
Cs 0.9181 0.4181 0.8361
Cs 0.5819 0.0819 0.1639
Cs 0.4181 0.9181 0.8361
Cs 0.0819 0.5819 0.1639
Cs 0.2835 0.2835 0.5669
Au 0.0000 0.0000 0.0000
Au 0.8454 0.8454 0.6907
Au 0.1546 0.1546 0.3093
Cl 0.5982 0.5982 0.1964
Cl 0.4018 0.4018 0.8036

---

3.
## Cs3Au2Cl9 (PBE-GGA)

Data for a geometry-optimized Cs3Au2Cl9 structure.

Properties
* ΔE_f (raw): -1.01 eV per atom
* symmetry: P-3m1, No. 164

Cell lengths 7.3718, 7.3718, 9.1791 Å; angles 90.00, 90.00, 120.00 degrees
Atoms (fractional coordinates):
Cl 0.8270 0.1730 0.3081
Cl 0.5000 0.0000 0.0000
Cl 0.1730 0.3459 0.6919
Cl 0.5000 0.5000 0.0000
Cl 0.3459 0.1730 0.3081
Cl 0.0000 0.5000 0.0000
Cl 0.8270 0.6541 0.3081
Cl 0.1730 0.8270 0.6919
Cl 0.6541 0.8270 0.6919
Cs 0.0000 0.0000 0.0000
Cs 0.6667 0.3333 0.6458
Cs 0.3333 0.6667 0.3542
Au 0.6667 0.3333 0.1589
Au 0.3333 0.6667 0.8411